Computed, not measured: crystalline InRuN2 at its relaxed geometry at the GGA-PBE level of DFT.

Lattice parameters (Å, degrees): 4.963 4.963 5.831 64.81 64.81 90.00
Fractional positions:
N1 0.875 0.830 0.750
In1 0.750 0.250 0.500
N2 0.580 0.125 0.250
Ru1 0.250 0.750 0.500
N3 0.375 0.420 0.750
N4 0.170 0.625 0.250
Ru2 0.500 0.500 0.000
In2 0.000 0.000 0.000

Calculated values
For the formation energy without anion corrections, the calculation gives 518 meV per atom. The calculation puts the volume at 114.7 Å³ per cell. For the magnetization, the calculation gives 0.00 μB per cell.

***

Computed, not measured: crystalline InRuN at its relaxed geometry at the GGA-PBE level of DFT.

Lattice parameters (Å, degrees): 4.769 5.633 6.915 89.48 90.00 90.00
Fractional positions:
Ru1 0.394 0.886 0.322
N1 0.595 0.071 0.972
In1 0.101 0.373 0.825
In2 0.601 0.627 0.675
Ru2 0.894 0.114 0.178
Ru3 0.106 0.886 0.822
In3 0.899 0.627 0.175
Ru4 0.606 0.114 0.678
In4 0.399 0.373 0.325
N2 0.095 0.929 0.528
N3 0.905 0.071 0.472
N4 0.405 0.929 0.028

Calculated values
For the formation energy without anion corrections, the calculation gives 368 meV per atom. The calculation puts the volume at 185.8 Å³ per cell. For the magnetization, the calculation gives 0.00 μB per cell.

***

Computed, not measured: crystalline InRuN2 at its relaxed geometry at the GGA-PBE level of DFT.

Lattice parameters (Å, degrees): 6.494 6.494 6.494 29.09 29.09 29.09
Fractional positions:
N1 0.099 0.099 0.099
In1 0.500 0.500 0.500
Ru1 0.000 0.000 0.000
N2 0.901 0.901 0.901

Calculated values
For the formation energy without anion corrections, the calculation gives 804 meV per atom. The calculation puts the volume at 57.3 Å³ per cell. For the magnetization, the calculation gives 0.00 μB per cell.

***

Computed, not measured: crystalline InRuN3 at its relaxed geometry at the GGA-PBE level of DFT.

Lattice parameters (Å, degrees): 3.914 3.914 3.914 90.00 90.00 90.00
Fractional positions:
N1 0.000 0.500 0.000
N2 0.500 0.000 0.000
In1 0.500 0.500 0.500
N3 0.000 0.000 0.500
Ru1 0.000 0.000 0.000

Calculated values
For the formation energy without anion corrections, the calculation gives 1106 meV per atom. The calculation puts the volume at 60.0 Å³ per cell. For the magnetization, the calculation gives 0.00 μB per cell.

***

Computed, not measured: crystalline InRuS2N at its relaxed geometry at the GGA-PBE level of DFT.

Lattice parameters (Å, degrees): 5.109 5.109 4.070 90.00 90.00 90.00
Each line ends with the local moment (μB).
Fractional positions:
Ru1 0.500 0.500 0.500  2.99
S1 0.500 0.000 0.000  0.14
In1 0.000 0.000 0.000  0.00
S2 0.000 0.500 0.000  0.14
N1 0.000 0.000 0.500  0.04

Calculated values
For the formation energy without anion corrections, the calculation gives 1585 meV per atom. As for the energy above the most stable polymorph in this dataset: 1362 meV/atom. The calculation puts the volume at 106.2 Å³ per cell. For the magnetization, the calculation gives 3.69 μB per cell.

***

Computed, not measured: crystalline InRuS2N at its relaxed geometry at the GGA-PBE level of DFT.

Lattice parameters (Å, degrees): 4.931 4.931 3.708 90.00 90.00 90.00
Fractional positions:
N1 0.000 0.000 0.500
In1 0.500 0.500 0.500
S1 0.500 0.000 0.000
S2 0.000 0.500 0.000
Ru1 0.000 0.000 0.000

Calculated values
For the formation energy without anion corrections, the calculation gives 222 meV per atom. As for the energy above the most stable polymorph in this dataset: 0 meV/atom. The calculation puts the volume at 90.2 Å³ per cell. For the magnetization, the calculation gives 0.00 μB per cell.

***

Computed, not measured: crystalline InRuSe2N at its relaxed geometry at the GGA-PBE level of DFT.

Lattice parameters (Å, degrees): 5.231 5.231 3.700 90.00 90.00 90.00
Fractional positions:
N1 0.000 0.000 0.500
Se1 0.500 0.000 0.000
Se2 0.000 0.500 0.000
In1 0.500 0.500 0.500
Ru1 0.000 0.000 0.000

Calculated values
For the formation energy without anion corrections, the calculation gives 189 meV per atom. As for the energy above the most stable polymorph in this dataset: 0 meV/atom. The calculation puts the volume at 101.3 Å³ per cell. For the magnetization, the calculation gives 0.00 μB per cell.

***

Computed, not measured: crystalline InRuSe2N at its relaxed geometry at the GGA-PBE level of DFT.

Lattice parameters (Å, degrees): 5.308 5.308 3.998 90.00 90.00 90.00
Each line ends with the local moment (μB).
Fractional positions:
Ru1 0.500 0.500 0.500  2.67
In1 0.000 0.000 0.000  0.01
N1 0.000 0.000 0.500  -0.01
Se1 0.500 0.000 0.000  0.04
Se2 0.000 0.500 0.000  0.04

Calculated values
For the formation energy without anion corrections, the calculation gives 1524 meV per atom. As for the energy above the most stable polymorph in this dataset: 1334 meV/atom. The calculation puts the volume at 112.6 Å³ per cell. For the magnetization, the calculation gives 3.01 μB per cell.

***

Computed, not measured: crystalline Sr2InRuN at its relaxed geometry at the GGA-PBE level of DFT.

Lattice parameters (Å, degrees): 5.513 5.513 3.853 90.00 90.00 90.00
Fractional positions:
Ru1 0.000 0.000 0.500
In1 0.500 0.500 0.500
N1 0.000 0.000 0.000
Sr1 0.000 0.500 0.000
Sr2 0.500 0.000 0.000

Calculated values
For the formation energy without anion corrections, the calculation gives -374 meV per atom. The calculation puts the volume at 117.1 Å³ per cell. For the magnetization, the calculation gives 0.00 μB per cell.

***

Computed, not measured: crystalline InTc2RuN at its relaxed geometry at the GGA-PBE level of DFT.

Lattice parameters (Å, degrees): 4.091 4.091 4.172 90.00 90.00 90.00
Fractional positions:
In1 0.500 0.500 0.500
Tc1 0.000 0.500 0.000
Tc2 0.500 0.000 0.000
Ru1 0.000 0.000 0.500
N1 0.000 0.000 0.000

Calculated values
For the formation energy without anion corrections, the calculation gives 82 meV per atom. The calculation puts the volume at 69.8 Å³ per cell. For the magnetization, the calculation gives 0.00 μB per cell.

***

Computed, not measured: crystalline TiInRu2N at its relaxed geometry at the GGA-PBE level of DFT.

Lattice parameters (Å, degrees): 4.160 4.044 4.160 90.00 90.00 90.00
Fractional positions:
Ru1 0.500 0.000 0.000
N1 0.000 0.000 0.000
Ru2 0.000 0.000 0.500
Ti1 0.000 0.500 0.000
In1 0.500 0.500 0.500

Calculated values
For the formation energy without anion corrections, the calculation gives -321 meV per atom. The calculation puts the volume at 70.0 Å³ per cell. For the magnetization, the calculation gives 0.00 μB per cell.

***

Computed, not measured: crystalline VInRu2N at its relaxed geometry at the GGA-PBE level of DFT.

Lattice parameters (Å, degrees): 4.884 4.917 4.884 90.00 90.00 90.00
Each line ends with the local moment (μB).
Fractional positions:
N1 0.500 0.500 0.500  0.28
V1 0.000 0.500 0.000  0.41
Ru1 0.500 0.000 0.000  1.72
In1 0.000 0.000 0.000  -0.02
Ru2 0.000 0.000 0.500  1.92

Calculated values
For the formation energy without anion corrections, the calculation gives 3188 meV per atom. The calculation puts the volume at 117.3 Å³ per cell. For the magnetization, the calculation gives 4.58 μB per cell.

***

Computed, not measured: crystalline ZnInRuN2 at its relaxed geometry at the GGA-PBE level of DFT.

Lattice parameters (Å, degrees): 4.125 5.469 4.125 90.00 90.00 90.00
Each line ends with the local moment (μB).
Fractional positions:
N1 0.000 0.000 0.500  0.83
In1 0.000 0.000 0.000  -0.03
Ru1 0.000 0.500 0.000  1.94
N2 0.500 0.000 0.000  0.98
Zn1 0.500 0.500 0.500  -0.02

Calculated values
For the formation energy without anion corrections, the calculation gives 2002 meV per atom. The calculation puts the volume at 93.0 Å³ per cell. For the magnetization, the calculation gives 4.45 μB per cell.

***

Computed, not measured: crystalline In3SN at its relaxed geometry at the GGA-PBE level of DFT.

Lattice parameters (Å, degrees): 4.808 4.808 4.808 90.00 90.00 90.00
Fractional positions:
In1 0.500 0.000 0.000
In2 0.000 0.000 0.500
S1 0.500 0.500 0.500
In3 0.000 0.500 0.000
N1 0.000 0.000 0.000

Calculated values
For the formation energy without anion corrections, the calculation gives 387 meV per atom. As for the energy above the most stable polymorph in this dataset: 0 meV/atom. The calculation puts the volume at 111.1 Å³ per cell. For the magnetization, the calculation gives 0.00 μB per cell.

***

Computed, not measured: crystalline InS2N2 at its relaxed geometry at the GGA-PBE level of DFT.

Lattice parameters (Å, degrees): 4.192 4.192 5.546 90.00 90.00 90.00
Each line ends with the local moment (μB).
Fractional positions:
S1 0.000 0.000 0.500  0.09
N1 0.000 0.500 0.000  1.23
S2 0.500 0.500 0.500  0.27
In1 0.000 0.000 0.000  0.00
N2 0.500 0.000 0.000  1.23

Calculated values
For the formation energy without anion corrections, the calculation gives 1779 meV per atom. As for the energy above the most stable polymorph in this dataset: 1819 meV/atom. The calculation puts the volume at 97.5 Å³ per cell. For the magnetization, the calculation gives 4.15 μB per cell.

***

Computed, not measured: crystalline InS2N2 at its relaxed geometry at the GGA-PBE level of DFT.

Lattice parameters (Å, degrees): 8.501 8.501 2.653 90.00 90.00 90.00
Fractional positions:
N1 0.635 0.865 0.500
N2 0.135 0.635 0.500
N3 0.365 0.135 0.500
N4 0.865 0.365 0.500
In1 0.500 0.500 0.000
S1 0.781 0.281 0.000
S2 0.219 0.719 0.000
In2 0.000 0.000 0.000
S3 0.281 0.219 0.000
S4 0.719 0.781 0.000

Calculated values
For the formation energy without anion corrections, the calculation gives 726 meV per atom. As for the energy above the most stable polymorph in this dataset: 765 meV/atom. The calculation puts the volume at 191.7 Å³ per cell. For the magnetization, the calculation gives 0.00 μB per cell.

***

Computed, not measured: crystalline In4S3N2 at its relaxed geometry at the GGA-PBE level of DFT.

Lattice parameters (Å, degrees): 6.633 6.633 9.694 52.59 52.59 33.09
Fractional positions:
N1 0.634 0.634 0.639
S1 0.000 0.000 0.000
In1 0.220 0.220 0.654
N2 0.366 0.366 0.361
S2 0.189 0.189 0.200
In2 0.780 0.780 0.346
In3 0.579 0.579 0.135
S3 0.811 0.811 0.800
In4 0.421 0.421 0.865

Calculated values
For the formation energy without anion corrections, the calculation gives -119 meV per atom. The calculation puts the volume at 180.1 Å³ per cell. For the magnetization, the calculation gives 0.00 μB per cell.

***

Computed, not measured: crystalline InSN2 at its relaxed geometry at the GGA-PBE level of DFT.

Lattice parameters (Å, degrees): 4.073 4.073 4.073 60.00 60.00 60.00
Fractional positions:
N1 0.250 0.250 0.250
N2 0.750 0.750 0.750
In1 0.500 0.500 0.500
S1 0.000 0.000 0.000

Calculated values
For the formation energy without anion corrections, the calculation gives 1838 meV per atom. As for the energy above the most stable polymorph in this dataset: 1941 meV/atom. The calculation puts the volume at 47.8 Å³ per cell. For the magnetization, the calculation gives 0.00 μB per cell.

***

Computed, not measured: crystalline InS2N2 at its relaxed geometry at the GGA-PBE level of DFT.

Lattice parameters (Å, degrees): 3.765 3.793 10.773 86.53 90.00 119.76
Each line ends with the local moment (μB).
Fractional positions:
N1 0.042 0.083 0.543  0.00
S1 0.654 0.307 0.136  0.32
N2 0.958 0.917 0.457  0.00
S2 0.346 0.693 0.864  0.32
In1 0.000 0.000 0.000  -0.01

Calculated values
For the formation energy without anion corrections, the calculation gives -39 meV per atom. As for the energy above the most stable polymorph in this dataset: 0 meV/atom. The calculation puts the volume at 133.2 Å³ per cell. For the magnetization, the calculation gives 1.00 μB per cell.

***

Computed, not measured: crystalline InS2N2 at its relaxed geometry at the GGA-PBE level of DFT.

Lattice parameters (Å, degrees): 3.876 3.876 6.018 71.22 71.22 90.00
Fractional positions:
N1 0.750 0.250 0.500
In1 0.000 0.000 0.000
S1 0.304 0.304 0.391
N2 0.250 0.750 0.500
S2 0.696 0.696 0.609

Calculated values
For the formation energy without anion corrections, the calculation gives 1159 meV per atom. As for the energy above the most stable polymorph in this dataset: 1198 meV/atom. The calculation puts the volume at 80.5 Å³ per cell. For the magnetization, the calculation gives 0.00 μB per cell.